{
  "formula": "TlIrBr2N",
  "functional": "PBE",
  "state": "optimized geometry",
  "total_magnetization_mub_per_cell": 3.25,
  "energy_ev_per_atom": -2.84,
  "cell": [[-4.298, 1.451, 3.578], [2.022, -1.571, 3.066], [2.521, 5.110, 0.956]],
  "species": ["Tl", "Ir", "Br", "Br", "N"],
  "frac_coords": [[0.000, 0.000, 0.000], [0.500, 0.500, 0.500], [0.000, 0.000, 0.500], [0.500, 0.000, 0.000], [0.000, 0.500, 0.000]]
}

***

{
  "formula": "Zn2IrBrN",
  "functional": "PBE",
  "state": "optimized geometry",
  "total_magnetization_mub_per_cell": 0.65,
  "energy_ev_per_atom": -2.77,
  "cell": [[4.930, 0.000, 0.000], [0.000, 4.810, 0.000], [0.000, 0.000, 4.930]],
  "species": ["Zn", "Zn", "Ir", "Br", "N"],
  "frac_coords": [[0.000, 0.000, 0.500], [0.500, 0.000, 0.000], [0.000, 0.000, 0.000], [0.000, 0.500, 0.000], [0.500, 0.500, 0.500]]
}

***

{
  "formula": "ZrIr2BrN",
  "functional": "PBE",
  "state": "optimized geometry",
  "total_magnetization_mub_per_cell": 0.00,
  "energy_ev_per_atom": -5.63,
  "cell": [[-2.182, -0.903, -4.051], [2.717, -2.823, -0.834], [-2.667, -3.202, 2.150]],
  "species": ["Ir", "Ir", "Br", "Zr", "N"],
  "frac_coords": [[0.000, 0.000, 0.500], [0.500, 0.000, 0.000], [0.000, 0.000, 0.000], [0.500, 0.500, 0.500], [0.000, 0.500, 0.000]]
}

***

{
  "formula": "Na2IrBr4",
  "functional": "PBE",
  "state": "optimized geometry",
  "total_magnetization_mub_per_cell": 1.01,
  "energy_ev_per_atom": -3.32,
  "cell": [[7.273, 0.000, 0.000], [0.000, 7.273, 0.000], [-3.636, -3.636, 3.964]],
  "species": ["Na", "Na", "Ir", "Br", "Br", "Br", "Br"],
  "frac_coords": [[0.750, 0.250, 0.500], [0.250, 0.750, 0.500], [0.500, 0.500, 0.000], [0.740, 0.263, 0.003], [0.263, 0.740, 0.003], [0.737, 0.737, 0.997], [0.260, 0.260, 0.997]]
}

***

{
  "formula": "NaIrBr2",
  "functional": "PBE",
  "state": "optimized geometry",
  "total_magnetization_mub_per_cell": 2.03,
  "energy_ev_per_atom": -3.12,
  "cell": [[0.000, 3.480, 3.480], [3.480, 0.000, 3.480], [3.480, 3.480, 0.000]],
  "species": ["Na", "Ir", "Br", "Br"],
  "frac_coords": [[0.000, 0.000, 0.000], [0.500, 0.500, 0.500], [0.250, 0.250, 0.250], [0.750, 0.750, 0.750]]
}

***

{
  "formula": "Na2IrBr",
  "functional": "PBE",
  "state": "optimized geometry",
  "total_magnetization_mub_per_cell": 2.00,
  "energy_ev_per_atom": -2.96,
  "cell": [[1.168, -4.484, -2.314], [-1.360, -4.484, 2.206], [-3.753, -2.886, -2.099]],
  "species": ["Na", "Na", "Ir", "Br"],
  "frac_coords": [[0.250, 0.250, 0.250], [0.750, 0.750, 0.750], [0.500, 0.500, 0.500], [0.000, 0.000, 0.000]]
}

***

{
  "formula": "Na3IrBr7",
  "functional": "PBE",
  "state": "optimized geometry",
  "total_magnetization_mub_per_cell": 1.10,
  "energy_ev_per_atom": -3.12,
  "cell": [[2.100, -2.943, 6.419], [4.167, -5.652, -2.227], [6.190, 3.478, 0.390]],
  "species": ["Na", "Na", "Na", "Ir", "Br", "Br", "Br", "Br", "Br", "Br", "Br"],
  "frac_coords": [[0.813, 0.257, 0.472], [0.373, 0.373, 0.938], [0.257, 0.813, 0.472], [0.032, 0.032, 0.971], [0.164, 0.164, 0.234], [0.713, 0.093, 0.142], [0.969, 0.352, 0.809], [0.093, 0.713, 0.142], [0.455, 0.455, 0.549], [0.352, 0.969, 0.809], [0.903, 0.903, 0.712]]
}

***

{
  "formula": "NaIrBr3",
  "functional": "PBE",
  "state": "optimized geometry",
  "total_magnetization_mub_per_cell": 3.12,
  "energy_ev_per_atom": -2.25,
  "cell": [[5.277, 0.000, 0.000], [0.000, 5.277, 0.000], [0.000, 0.000, 5.277]],
  "species": ["Na", "Ir", "Br", "Br", "Br"],
  "frac_coords": [[0.000, 0.000, 0.000], [0.500, 0.500, 0.500], [0.000, 0.500, 0.000], [0.000, 0.000, 0.500], [0.500, 0.000, 0.000]]
}

***

{
  "formula": "NaIr3Br",
  "functional": "PBE",
  "state": "optimized geometry",
  "total_magnetization_mub_per_cell": 4.96,
  "energy_ev_per_atom": -3.27,
  "cell": [[4.717, 0.000, 0.000], [0.000, 4.717, 0.000], [0.000, 0.000, 4.717]],
  "species": ["Na", "Ir", "Ir", "Ir", "Br"],
  "frac_coords": [[0.000, 0.000, 0.000], [0.000, 0.500, 0.000], [0.000, 0.000, 0.500], [0.500, 0.000, 0.000], [0.500, 0.500, 0.500]]
}

***

{
  "formula": "Na6IrBr12",
  "functional": "PBE",
  "state": "optimized geometry",
  "total_magnetization_mub_per_cell": 3.34,
  "energy_ev_per_atom": -2.87,
  "cell": [[8.453, 1.165, -1.320], [-1.702, 8.361, -1.320], [0.826, 1.165, 8.515]],
  "species": ["Na", "Na", "Na", "Na", "Na", "Na", "Ir", "Br", "Br", "Br", "Br", "Br", "Br", "Br", "Br", "Br", "Br", "Br", "Br"],
  "frac_coords": [[0.161, 0.397, 0.645], [0.603, 0.355, 0.839], [0.355, 0.839, 0.603], [0.839, 0.603, 0.355], [0.397, 0.645, 0.161], [0.645, 0.161, 0.397], [0.000, 0.000, 0.000], [0.395, 0.172, 0.621], [0.172, 0.621, 0.395], [0.621, 0.395, 0.172], [0.605, 0.828, 0.379], [0.828, 0.379, 0.605], [0.379, 0.605, 0.828], [0.025, 0.960, 0.716], [0.284, 0.975, 0.040], [0.040, 0.284, 0.975], [0.975, 0.040, 0.284], [0.716, 0.025, 0.960], [0.960, 0.716, 0.025]]
}

***

{
  "formula": "NaIrBr2",
  "functional": "PBE",
  "state": "optimized geometry",
  "total_magnetization_mub_per_cell": 0.00,
  "energy_ev_per_atom": -3.38,
  "cell": [[-3.464, 2.869, 3.312], [-0.538, -4.468, 3.307], [3.680, 1.463, 7.291]],
  "species": ["Na", "Na", "Ir", "Ir", "Br", "Br", "Br", "Br"],
  "frac_coords": [[0.500, 0.500, 0.000], [0.250, 0.750, 0.500], [0.000, 0.000, 0.000], [0.750, 0.250, 0.500], [0.692, 0.125, 0.250], [0.058, 0.625, 0.250], [0.375, 0.308, 0.750], [0.875, 0.942, 0.750]]
}

***

{
  "formula": "NaIrBr2",
  "functional": "PBE",
  "state": "optimized geometry",
  "total_magnetization_mub_per_cell": 1.23,
  "energy_ev_per_atom": -3.32,
  "cell": [[-0.401, -8.471, 2.642], [2.863, -8.338, 1.089], [2.443, -7.250, 4.513]],
  "species": ["Na", "Ir", "Br", "Br"],
  "frac_coords": [[0.500, 0.500, 0.500], [0.000, 0.000, 0.000], [0.907, 0.907, 0.907], [0.093, 0.093, 0.093]]
}

***

{
  "formula": "Na2IrBr",
  "functional": "PBE",
  "state": "optimized geometry",
  "total_magnetization_mub_per_cell": 0.12,
  "energy_ev_per_atom": -3.00,
  "cell": [[8.038, 0.000, 0.000], [0.000, 8.038, 0.000], [4.019, 4.019, 2.712]],
  "species": ["Na", "Na", "Na", "Na", "Ir", "Ir", "Br", "Br"],
  "frac_coords": [[0.616, 0.125, 0.250], [0.134, 0.625, 0.250], [0.375, 0.384, 0.750], [0.875, 0.866, 0.750], [0.000, 0.000, 0.000], [0.750, 0.250, 0.500], [0.500, 0.500, 0.000], [0.250, 0.750, 0.500]]
}

***

{
  "formula": "NaIr3Br",
  "functional": "PBE",
  "state": "optimized geometry",
  "total_magnetization_mub_per_cell": 0.00,
  "energy_ev_per_atom": -4.32,
  "cell": [[-1.972, 3.483, 2.415], [-2.396, -3.114, 2.534], [3.496, -0.169, 3.098]],
  "species": ["Na", "Ir", "Ir", "Ir", "Br"],
  "frac_coords": [[0.500, 0.500, 0.500], [0.000, 0.500, 0.000], [0.000, 0.000, 0.500], [0.500, 0.000, 0.000], [0.000, 0.000, 0.000]]
}

***

{
  "formula": "NaIrBr3",
  "functional": "PBE",
  "state": "optimized geometry",
  "total_magnetization_mub_per_cell": 0.14,
  "energy_ev_per_atom": -3.35,
  "cell": [[-4.643, -0.293, 2.229], [0.492, -5.123, 0.353], [2.193, 0.530, 4.639]],
  "species": ["Na", "Ir", "Br", "Br", "Br"],
  "frac_coords": [[0.500, 0.500, 0.500], [0.000, 0.000, 0.000], [0.000, 0.500, 0.000], [0.000, 0.000, 0.500], [0.500, 0.000, 0.000]]
}

***

{
  "formula": "Na2IrBr2O2",
  "functional": "PBE",
  "state": "optimized geometry",
  "total_magnetization_mub_per_cell": 1.21,
  "energy_ev_per_atom": -4.50,
  "cell": [[4.022, 0.000, 0.000], [0.000, 4.022, 0.000], [-2.011, -2.011, 8.506]],
  "species": ["Na", "Na", "Ir", "Br", "Br", "O", "O"],
  "frac_coords": [[0.407, 0.407, 0.814], [0.593, 0.593, 0.186], [0.000, 0.000, 0.000], [0.151, 0.151, 0.303], [0.849, 0.849, 0.697], [0.000, 0.500, 0.000], [0.500, 0.000, 0.000]]
}

***

{
  "formula": "NaIr2OsBr",
  "functional": "PBE",
  "state": "optimized geometry",
  "total_magnetization_mub_per_cell": 0.00,
  "energy_ev_per_atom": -5.15,
  "cell": [[-0.870, -4.018, -2.195], [4.721, -2.622, 2.929], [-2.853, -1.272, 3.459]],
  "species": ["Na", "Ir", "Ir", "Os", "Br"],
  "frac_coords": [[0.000, 0.500, 0.000], [0.000, 0.000, 0.500], [0.500, 0.000, 0.000], [0.000, 0.000, 0.000], [0.500, 0.500, 0.500]]
}

***

{
  "formula": "NaP2IrBr",
  "functional": "PBE",
  "state": "optimized geometry",
  "total_magnetization_mub_per_cell": 0.00,
  "energy_ev_per_atom": -4.68,
  "cell": [[-3.532, 2.634, 0.424], [-3.821, -4.583, -3.352], [-1.006, -1.967, 3.836]],
  "species": ["P", "P", "Ir", "Br", "Na"],
  "frac_coords": [[0.000, 0.000, 0.500], [0.500, 0.000, 0.000], [0.000, 0.000, 0.000], [0.500, 0.500, 0.500], [0.000, 0.500, 0.000]]
}

***

{
  "formula": "Na2PIrBr",
  "functional": "PBE",
  "state": "optimized geometry",
  "total_magnetization_mub_per_cell": 3.00,
  "energy_ev_per_atom": -2.77,
  "cell": [[5.561, 0.000, 0.000], [0.000, 4.944, 0.000], [0.000, 0.000, 5.561]],
  "species": ["P", "Ir", "Br", "Na", "Na"],
  "frac_coords": [[0.000, 0.000, 0.000], [0.500, 0.500, 0.500], [0.000, 0.500, 0.000], [0.000, 0.000, 0.500], [0.500, 0.000, 0.000]]
}

***

{
  "formula": "Na2IrPdBr",
  "functional": "PBE",
  "state": "optimized geometry",
  "total_magnetization_mub_per_cell": 0.00,
  "energy_ev_per_atom": -3.04,
  "cell": [[-2.599, 4.174, -2.783], [-2.818, 0.628, 3.574], [3.627, 3.729, 2.205]],
  "species": ["Na", "Na", "Ir", "Br", "Pd"],
  "frac_coords": [[0.000, 0.000, 0.500], [0.500, 0.000, 0.000], [0.000, 0.000, 0.000], [0.000, 0.500, 0.000], [0.500, 0.500, 0.500]]
}

***

{
  "formula": "RbNaIrBr6",
  "functional": "PBE",
  "state": "optimized geometry",
  "total_magnetization_mub_per_cell": 1.10,
  "energy_ev_per_atom": -3.17,
  "cell": [[-0.427, -3.843, 6.176], [6.077, -2.313, 3.288], [0.259, 6.231, 3.897]],
  "species": ["Rb", "Na", "Ir", "Br", "Br", "Br", "Br", "Br", "Br"],
  "frac_coords": [[0.000, 0.000, 0.000], [0.666, 0.666, 0.500], [0.333, 0.333, 0.500], [0.049, 0.344, 0.302], [0.344, 0.049, 0.698], [0.607, 0.345, 0.698], [0.048, 0.608, 0.697], [0.345, 0.607, 0.302], [0.608, 0.048, 0.303]]
}

***

{
  "formula": "NaReIr2Br",
  "functional": "PBE",
  "state": "optimized geometry",
  "total_magnetization_mub_per_cell": 6.58,
  "energy_ev_per_atom": -3.73,
  "cell": [[-1.909, 1.206, -4.154], [3.955, -1.656, -2.298], [-1.984, -4.279, -0.330]],
  "species": ["Re", "Ir", "Ir", "Br", "Na"],
  "frac_coords": [[0.000, 0.500, 0.000], [0.000, 0.000, 0.500], [0.500, 0.000, 0.000], [0.500, 0.500, 0.500], [0.000, 0.000, 0.000]]
}

***

{
  "formula": "NaIrSeBr2",
  "functional": "PBE",
  "state": "optimized geometry",
  "total_magnetization_mub_per_cell": 0.00,
  "energy_ev_per_atom": -3.67,
  "cell": [[5.446, 0.000, 0.000], [0.000, 5.446, 0.000], [0.000, 0.000, 4.660]],
  "species": ["Na", "Ir", "Se", "Br", "Br"],
  "frac_coords": [[0.500, 0.500, 0.500], [0.000, 0.000, 0.000], [0.000, 0.000, 0.500], [0.000, 0.500, 0.000], [0.500, 0.000, 0.000]]
}

***

{
  "formula": "NaIrSeBr2",
  "functional": "PBE",
  "state": "optimized geometry",
  "total_magnetization_mub_per_cell": 4.11,
  "energy_ev_per_atom": -2.32,
  "cell": [[5.113, 0.000, 0.000], [0.000, 5.113, 0.000], [0.000, 0.000, 5.426]],
  "species": ["Na", "Ir", "Se", "Br", "Br"],
  "frac_coords": [[0.000, 0.000, 0.000], [0.500, 0.500, 0.500], [0.000, 0.000, 0.500], [0.000, 0.500, 0.000], [0.500, 0.000, 0.000]]
}

***

{
  "formula": "Na2SrIrBr8",
  "functional": "PBE",
  "state": "optimized geometry",
  "total_magnetization_mub_per_cell": 1.03,
  "energy_ev_per_atom": -3.27,
  "cell": [[6.651, 0.086, 0.119], [0.098, 6.784, 0.339], [0.169, 0.473, 8.746]],
  "species": ["Na", "Na", "Sr", "Ir", "Br", "Br", "Br", "Br", "Br", "Br", "Br", "Br"],
  "frac_coords": [[0.457, 0.408, 0.738], [0.543, 0.592, 0.262], [0.000, 0.000, 0.500], [0.000, 0.000, 0.000], [0.110, 0.749, 0.217], [0.693, 0.812, 0.975], [0.816, 0.196, 0.193], [0.890, 0.251, 0.783], [0.307, 0.188, 0.025], [0.184, 0.804, 0.807], [0.656, 0.722, 0.543], [0.344, 0.278, 0.457]]
}

***

{
  "formula": "Na2TlIrBr6",
  "functional": "PBE",
  "state": "optimized geometry",
  "total_magnetization_mub_per_cell": 0.00,
  "energy_ev_per_atom": -3.24,
  "cell": [[7.381, 0.003, 0.001], [3.693, 6.392, 0.000], [3.692, 2.131, 6.651]],
  "species": ["Na", "Na", "Tl", "Ir", "Br", "Br", "Br", "Br", "Br", "Br"],
  "frac_coords": [[0.525, 0.525, 0.426], [0.002, 0.002, 0.994], [0.812, 0.812, 0.564], [0.330, 0.330, 0.009], [0.543, 0.253, 0.225], [0.253, 0.978, 0.225], [0.978, 0.544, 0.225], [0.385, 0.689, 0.782], [0.689, 0.144, 0.782], [0.144, 0.385, 0.782]]
}